[1]
Here is crystalline Na2B3C at its relaxed geometry from Alexandria. Energies are from GGA-PBE.

Cell lengths 7.711, 7.709, 10.391 Å; angles 121.88, 121.88, 38.55 degrees
Fractional positions:
B  0.459  0.737  0.251
B  0.020  0.370  0.250
B  0.218  0.584  0.750
B  0.630  0.980  0.249
B  0.263  0.542  0.249
B  0.770  0.440  0.750
B  0.156  0.845  0.251
B  0.962  0.641  0.249
B  0.590  0.195  0.751
B  0.206  0.810  0.750
B  0.817  0.181  0.750
B  0.823  0.178  0.250
B  0.959  0.630  0.750
B  0.358  0.038  0.250
B  0.363  0.036  0.750
C  0.764  0.432  0.251
C  0.568  0.236  0.249
C  0.027  0.373  0.749
C  0.622  0.968  0.751
C  0.433  0.777  0.750
Na  0.199  0.203  0.501
Na  0.399  0.399  0.997
Na  0.600  0.601  0.001
Na  0.998  0.001  0.500
Na  0.999  0.002  0.001
Na  0.199  0.200  0.999
Na  0.798  0.802  0.000
Na  0.399  0.400  0.499
Na  0.601  0.600  0.502
Na  0.799  0.800  0.499

Results
The density of states at the Fermi level is 3.9 states/eV/cell. As for the calculated formation energy: 102 kJ/mol of formula units. The value obtained for the density is 2.353 g/cm³. The energy above the most stable polymorph in this dataset comes out at 0.042 eV per atom. The symmetry is No. 1. The energy comes out at -30.8 eV per formula unit. For the calculated volume, the calculation gives 10.64 A^3/atom.

***

[2]
Here is crystalline Na4B5C3 at its relaxed geometry from Alexandria. Energies are from GGA-PBE.

Cell lengths 2.863, 2.863, 17.004 Å; angles 90.00, 90.00, 120.00 degrees
Fractional positions:
Na  0.000  0.000  0.997
Na  0.000  0.000  0.749
Na  0.000  0.000  0.253
Na  0.000  0.000  0.501
B  0.333  0.667  0.125
B  0.333  0.667  0.378
B  0.333  0.667  0.872
B  0.667  0.333  0.625
B  0.667  0.333  0.125
C  0.667  0.333  0.378
C  0.667  0.333  0.872
C  0.333  0.667  0.625

Results
The density of states at the Fermi level is 1.4 states/eV/cell. As for the calculated formation energy: 113 kJ/mol of formula units. The value obtained for the density is 2.505 g/cm³. The energy above the most stable polymorph in this dataset comes out at 0.037 eV per atom. The symmetry is No. 187. The energy comes out at -65.2 eV per formula unit. For the calculated volume, the calculation gives 10.06 A^3/atom.

***

[3]
Here is crystalline Na5B6C4 at its relaxed geometry from Alexandria. Energies are from GGA-PBE.

Cell lengths 8.940, 8.940, 13.122 Å; angles 113.60, 113.60, 18.24 degrees
Fractional positions:
B  0.839  0.839  0.929
B  0.768  0.768  0.785
B  0.572  0.572  0.895
B  0.034  0.034  0.317
B  0.032  0.032  0.815
B  0.436  0.436  0.124
B  0.766  0.766  0.283
B  0.364  0.364  0.476
B  0.961  0.961  0.671
B  0.631  0.631  0.511
B  0.169  0.169  0.089
B  0.228  0.228  0.705
C  0.430  0.430  0.607
C  0.370  0.370  0.993
C  0.636  0.636  0.024
C  0.164  0.164  0.576
C  0.832  0.832  0.413
C  0.968  0.968  0.187
C  0.234  0.234  0.219
C  0.566  0.566  0.381
Na  0.000  0.000  0.002
Na  0.000  0.000  0.498
Na  0.400  0.400  0.300
Na  0.400  0.400  0.800
Na  0.600  0.600  0.201
Na  0.800  0.800  0.598
Na  0.200  0.200  0.399
Na  0.599  0.599  0.699
Na  0.800  0.800  0.102
Na  0.201  0.201  0.901

Results
The density of states at the Fermi level is 3.5 states/eV/cell. As for the calculated formation energy: 81 kJ/mol of formula units. The value obtained for the density is 2.522 g/cm³. The energy above the most stable polymorph in this dataset comes out at 0.004 eV per atom. The symmetry is No. 12. The energy comes out at -82.7 eV per formula unit. For the calculated volume, the calculation gives 10.00 A^3/atom.

***

[4]
Here is crystalline Na2B3C at its relaxed geometry from Alexandria. Energies are from GGA-PBE.

Cell lengths 10.132, 10.132, 2.783 Å; angles 90.00, 90.00, 117.44 degrees
Fractional positions:
B  0.311  0.561  0.500
B  0.057  0.807  0.500
B  0.706  0.956  0.000
B  0.476  0.726  0.500
B  0.932  0.182  0.500
B  0.784  0.535  0.000
B  0.949  0.701  0.000
B  0.557  0.307  0.500
B  0.203  0.453  0.000
B  0.451  0.199  0.000
B  0.039  0.289  0.000
B  0.285  0.034  0.000
Na  0.999  0.501  0.500
Na  0.253  0.752  0.000
Na  0.748  0.250  0.000
Na  0.000  0.998  0.000
Na  0.502  0.503  0.000
Na  0.251  0.249  0.500
Na  0.499  0.999  0.500
Na  0.749  0.749  0.500
C  0.705  0.456  0.500
C  0.206  0.955  0.500
C  0.785  0.035  0.500
C  0.553  0.803  0.000

Results
The density of states at the Fermi level is 3.0 states/eV/cell. As for the calculated formation energy: 80 kJ/mol of formula units. The value obtained for the density is 2.369 g/cm³. The energy above the most stable polymorph in this dataset comes out at 0.005 eV per atom. The symmetry is No. 38. The energy comes out at -31.1 eV per formula unit. For the calculated volume, the calculation gives 10.56 A^3/atom.

***

[5]
Here is crystalline Na5B8C2 at its relaxed geometry from Alexandria. Energies are from GGA-PBE.

Cell lengths 7.745, 7.718, 10.424 Å; angles 121.80, 121.79, 38.73 degrees
Fractional positions:
Na  0.798  0.802  0.501
Na  0.601  0.600  0.502
Na  0.998  0.001  0.498
Na  0.201  0.202  0.002
Na  0.599  0.600  0.000
Na  0.398  0.399  0.996
Na  0.199  0.203  0.501
Na  0.997  0.002  0.998
Na  0.400  0.400  0.500
Na  0.798  0.802  0.001
B  0.968  0.616  0.750
B  0.459  0.734  0.250
B  0.961  0.643  0.250
B  0.627  0.969  0.751
B  0.351  0.037  0.750
B  0.019  0.370  0.250
B  0.838  0.164  0.750
B  0.356  0.040  0.249
B  0.573  0.232  0.751
B  0.766  0.446  0.750
B  0.630  0.980  0.249
B  0.192  0.826  0.750
B  0.155  0.847  0.250
B  0.265  0.541  0.250
B  0.223  0.574  0.750
B  0.822  0.179  0.250
C  0.034  0.360  0.749
C  0.568  0.238  0.250
C  0.763  0.433  0.251
C  0.442  0.762  0.750

Results
The density of states at the Fermi level is 5.7 states/eV/cell. As for the calculated formation energy: 293 kJ/mol of formula units. The value obtained for the density is 2.315 g/cm³. The energy above the most stable polymorph in this dataset comes out at 0.032 eV per atom. The symmetry is No. 1. The energy comes out at -75.4 eV per formula unit. For the calculated volume, the calculation gives 10.78 A^3/atom.

***

[6]
Here is crystalline Na5B9C at its relaxed geometry from Alexandria. Energies are from GGA-PBE.

Cell lengths 11.977, 11.977, 10.309 Å; angles 104.91, 104.91, 13.48 degrees
Fractional positions:
B  0.019  0.019  0.290
B  0.081  0.081  0.414
B  0.321  0.321  0.393
B  0.684  0.684  0.618
B  0.383  0.383  0.518
B  0.116  0.116  0.982
B  0.924  0.924  0.598
B  0.575  0.575  0.901
B  0.719  0.719  0.186
B  0.417  0.417  0.082
B  0.178  0.178  0.104
B  0.876  0.876  0.002
B  0.812  0.812  0.874
B  0.988  0.988  0.726
B  0.479  0.479  0.207
B  0.225  0.225  0.699
B  0.622  0.622  0.496
B  0.781  0.781  0.310
Na  0.100  0.100  0.699
Na  0.500  0.500  0.502
Na  0.300  0.300  0.098
Na  0.600  0.600  0.199
Na  0.700  0.700  0.901
Na  0.200  0.200  0.401
Na  0.801  0.801  0.601
Na  0.999  0.999  0.999
Na  0.900  0.900  0.300
Na  0.400  0.400  0.800
C  0.282  0.282  0.814
C  0.518  0.518  0.786

Results
The density of states at the Fermi level is 9.3 states/eV/cell. As for the calculated formation energy: 343 kJ/mol of formula units. The value obtained for the density is 2.236 g/cm³. The energy above the most stable polymorph in this dataset comes out at 0.000 eV per atom. The symmetry is No. 12. The energy comes out at -72.4 eV per formula unit. For the calculated volume, the calculation gives 11.10 A^3/atom.

***

Copy entry 2 word for word.
Here is crystalline Na4B5C3 at its relaxed geometry from Alexandria. Energies are from GGA-PBE.

Cell lengths 2.863, 2.863, 17.004 Å; angles 90.00, 90.00, 120.00 degrees
Fractional positions:
Na  0.000  0.000  0.997
Na  0.000  0.000  0.749
Na  0.000  0.000  0.253
Na  0.000  0.000  0.501
B  0.333  0.667  0.125
B  0.333  0.667  0.378
B  0.333  0.667  0.872
B  0.667  0.333  0.625
B  0.667  0.333  0.125
C  0.667  0.333  0.378
C  0.667  0.333  0.872
C  0.333  0.667  0.625

Results
The density of states at the Fermi level is 1.4 states/eV/cell. As for the calculated formation energy: 113 kJ/mol of formula units. The value obtained for the density is 2.505 g/cm³. The energy above the most stable polymorph in this dataset comes out at 0.037 eV per atom. The symmetry is No. 187. The energy comes out at -65.2 eV per formula unit. For the calculated volume, the calculation gives 10.06 A^3/atom.

***

Question: Among the records above, which one has the lowest calculated volume?
Answer: Na5B6C4

***

Question: calculated formation energy of number 2 (Na4B5C3)?
Answer: 113 kJ/mol of formula units